[1]
An optimized crystal structure of Ta4AlGa. Source: Alexandria via LeMat-Bulk, functional PBE-GGA.

a b c (Å): 4.8666 8.8475 4.8645
angles (deg): 90.00 90.00 90.00
Closest atoms and distances in Å follow each position.
Space group Cmmm (No. 65)
Inequivalent atoms, fractional coordinates:
Ta 0.0000 0.1663 0.0000 [4 per cell]  5 Ta 2.84-2.94, 2 Al 2.84, 3 Ga 2.84-2.95
Ta 0.0000 0.3321 0.5000 [4 per cell]  5 Ta 2.83-2.97, 2 Ga 2.85, 3 Al 2.85-2.94
Al 0.0000 0.0000 0.5000 [2 per cell]  10 Ta 2.84-2.94
Ga 0.0000 0.5000 0.0000 [2 per cell]  10 Ta 2.84-2.95

## Properties
total magnetization: 0.00 μB per formula unit
energy of formation: -0.12 eV/atom

=====

[2]
An optimized crystal structure of TmTh2PaC4. Source: Alexandria via LeMat-Bulk, functional PBE-GGA.

a b c (Å): 6.3285 3.6943 6.3749
angles (deg): 90.00 109.23 90.00
Closest atoms and distances in Å follow each position.
Space group P2/m (No. 10)
Inequivalent atoms, fractional coordinates:
Tm 0.0000 0.0000 0.0000 [1 per cell]  6 C 2.57-2.60
Th 0.0000 0.5000 0.5000 [1 per cell]  6 C 2.68-2.70
Th 0.5000 0.0000 0.5000 [1 per cell]  6 C 2.61-2.62
Pa 0.5000 0.5000 0.0000 [1 per cell]  6 C 2.48-2.53
C 0.2587 0.5000 0.2381 [2 per cell]  1 Pa 2.48, 2 Tm 2.60, 3 Th 2.62-2.70
C 0.2629 0.0000 0.7666 [2 per cell]  2 Pa 2.53, 1 Tm 2.57, 3 Th 2.61-2.68

## Properties
total magnetization: 0.00 μB per formula unit
energy of formation: -0.31 eV/atom

=====

Copy entry 2 word for word.
An optimized crystal structure of TmTh2PaC4. Source: Alexandria via LeMat-Bulk, functional PBE-GGA.

a b c (Å): 6.3285 3.6943 6.3749
angles (deg): 90.00 109.23 90.00
Closest atoms and distances in Å follow each position.
Space group P2/m (No. 10)
Inequivalent atoms, fractional coordinates:
Tm 0.0000 0.0000 0.0000 [1 per cell]  6 C 2.57-2.60
Th 0.0000 0.5000 0.5000 [1 per cell]  6 C 2.68-2.70
Th 0.5000 0.0000 0.5000 [1 per cell]  6 C 2.61-2.62
Pa 0.5000 0.5000 0.0000 [1 per cell]  6 C 2.48-2.53
C 0.2587 0.5000 0.2381 [2 per cell]  1 Pa 2.48, 2 Tm 2.60, 3 Th 2.62-2.70
C 0.2629 0.0000 0.7666 [2 per cell]  2 Pa 2.53, 1 Tm 2.57, 3 Th 2.61-2.68

## Properties
total magnetization: 0.00 μB per formula unit
energy of formation: -0.31 eV/atom